# 1
{
  "formula": "LiCaAu2",
  "functional": "PBE",
  "state": "optimized geometry",
  "cell": [[4.8383, 0.0000, 0.0000], [2.4192, 4.1901, 0.0000], [2.4192, 1.3967, 3.9505]],
  "species": ["Au", "Au", "Ca", "Li"],
  "fractional_positions": [[0.0000, 0.0000, 0.0000], [0.2500, 0.2500, 0.2500], [0.5000, 0.5000, 0.5000], [0.7500, 0.7500, 0.7500]],
  "space_group": "F-43m",
  "dos_at_fermi_per_ev_cell": 1.000,
  "total_magnetization_mub_per_fu": 0.00,
  "formation_energy_ev_per_atom": -0.554,
  "total_energy_ev_per_cell": -12.68
}

=====

# 2
{
  "formula": "LiCa4Au",
  "functional": "PBE",
  "state": "optimized geometry",
  "cell": [[-2.7885, 0.3876, 5.4473], [-3.2557, -6.5961, -1.1972], [8.6949, -4.2862, -0.0296]],
  "species": ["Li", "Li", "Ca", "Ca", "Ca", "Ca", "Ca", "Ca", "Ca", "Ca", "Au", "Au"],
  "fractional_positions": [[0.2833, 0.2500, 0.0675], [0.7167, 0.7500, 0.9325], [0.5781, 0.2500, 0.4380], [0.4219, 0.7500, 0.5620], [0.6374, 0.2500, 0.8573], [0.3626, 0.7500, 0.1427], [0.9325, 0.0109, 0.2588], [0.0675, 0.5109, 0.7412], [0.9325, 0.4891, 0.2588], [0.0675, 0.9891, 0.7412], [0.1772, 0.2500, 0.5422], [0.8228, 0.7500, 0.4578]],
  "space_group": "P2_1/m",
  "dos_at_fermi_per_ev_cell": 9.501,
  "total_magnetization_mub_per_fu": 0.00,
  "relative_energy_ev_per_fu": 0.00,
  "formation_energy_ev_per_atom": -0.271,
  "total_energy_ev_per_cell": -29.64
}

=====

# 3
{
  "formula": "Li2CaAu",
  "functional": "PBE",
  "state": "optimized geometry",
  "cell": [[4.2366, 0.0000, 0.0000], [0.0000, 4.2366, 0.0000], [2.1183, 2.1183, 10.1886]],
  "species": ["Ca", "Ca", "Au", "Au", "Li", "Li", "Li", "Li"],
  "fractional_positions": [[0.5000, 0.5000, 0.0000], [0.2500, 0.7500, 0.5000], [0.0000, 0.0000, 0.0000], [0.7500, 0.2500, 0.5000], [0.6933, 0.1250, 0.2500], [0.0567, 0.6250, 0.2500], [0.3750, 0.3067, 0.7500], [0.8750, 0.9433, 0.7500]],
  "space_group": "I-42d",
  "dos_at_fermi_per_ev_cell": 3.438,
  "total_magnetization_mub_per_fu": 0.00,
  "relative_energy_ev_per_fu": 0.63,
  "formation_energy_ev_per_atom": -0.292,
  "total_energy_ev_per_cell": -20.55
}